No. 1
Pr2Tm6Pu | PBE | optimized geometry

Cell and atoms, written as POSCAR:
```
Pr2Tm6Pu
1.0
-6.195 0.465 -0.062
-0.225 -3.738 -5.503
2.203 -10.380 9.237
Tm Pu Pr
12 2 4
Cartesian
-0.103 -7.178 5.705
0.202 -4.193 -0.953
-0.446 -12.348 3.460
-3.771 -1.305 0.212
-1.102 -7.455 -0.413
-4.114 -6.475 -2.033
-1.419 -10.385 6.220
-4.419 -9.461 4.625
-0.708 -2.223 1.815
-3.115 -6.198 4.085
-2.798 -3.268 -2.548
-3.508 -11.431 1.857
-0.538 -0.906 -1.377
-3.679 -12.747 5.049
-4.273 -8.015 1.257
-1.239 -8.959 2.938
0.056 -5.639 2.415
-2.978 -4.695 0.734
```

Properties
**E_form**: 45 meV per atom
**Electronic total energy**: -0.4109 Ry/atom
**Size of the total moment**: 6.50 μB/f.u.

No. 2
PrTmPu4 | PBE | optimized geometry

Cell and atoms, written as POSCAR:
```
PrTmPu4
1.0
-5.211 -0.277 3.348
0.069 -2.585 5.635
-0.635 3.546 5.046
Pu Pr Tm
4 1 1
Cartesian
-3.294 -1.348 6.244
-1.002 0.566 7.094
-3.647 1.722 5.949
-3.612 0.427 8.771
-1.444 0.171 3.507
0.000 0.000 0.000
```

Properties
**E_form**: 241 meV per atom
**Electronic total energy**: -0.7978 Ry/atom
**Size of the total moment**: 22.88 μB/f.u.